i | Nb2TlTe | Alexandria | PBE | optimized geometry; total magnetic moment = 0.000 μB/atom; SG = I-42d (122)
1.0
4.2703 0.0000 0.0000
0.0000 4.2703 0.0000
2.1351 2.1351 10.1454
Nb Tl Te
4 2 2
Cartesian
3.2027 3.1562 7.6090
5.3379 5.3844 7.6090
3.2492 1.0676 2.5363
1.0210 3.2027 2.5363
4.2703 2.1351 5.0727
0.0000 0.0000 0.0000
2.1351 2.1351 0.0000
2.1351 4.2703 5.0727

***

ii | Nb2TlTe | Alexandria | PBE | optimized geometry; total magnetic moment = 0.000 μB/atom; SG = Fm-3m (225)
1.0
-3.3793 -1.4773 -3.1660
-4.4598 1.9286 0.1291
-1.4656 2.9738 -3.5544
Nb Tl Te
2 1 1
Cartesian
-2.3262 0.8563 -1.6478
-6.9785 2.5688 -4.9435
-4.6523 1.7126 -3.2957
0.0000 0.0000 0.0000

***

Q: Which of them is the most stable? A: ii.

***

i | NbTl3Te | Alexandria | PBE | optimized geometry; total magnetic moment = 0.138 μB/atom; SG = Pm-3m (221)
1.0
-5.6283 0.4912 -1.8408
1.7453 -0.9728 -5.5960
-0.7640 -5.8412 0.7772
Tl Te Nb
3 1 1
Cartesian
-0.3820 -2.9206 0.3886
-2.8141 0.2456 -0.9204
0.8727 -0.4864 -2.7980
0.0000 0.0000 0.0000
-2.3234 -3.1614 -3.3298

***

ii | NbTl3Te | Alexandria | PBE | optimized geometry; total magnetic moment = 0.520 μB/atom; SG = Pm-3m (221)
1.0
-1.6320 5.3554 -0.1272
-5.2491 -1.6253 -1.0798
-1.0696 -0.1954 5.4935
Tl Nb Te
3 1 1
Cartesian
-2.6245 -0.8126 -0.5399
-0.8160 2.6777 -0.0636
-0.5348 -0.0977 2.7467
0.0000 0.0000 0.0000
-3.9753 1.7674 2.1432

***

Q: Which of them is the most stable? A: ii.

***

i | NbV3Te | Alexandria | PBE | optimized geometry; total magnetic moment = 0.574 μB/atom; SG = Pm-3m (221)
1.0
-4.1688 0.7920 2.1186
-1.3131 -4.4647 -0.9147
1.8416 -1.3906 4.1436
Te V Nb
1 3 1
Cartesian
0.0000 0.0000 0.0000
0.9208 -0.6953 2.0718
-0.6566 -2.2323 -0.4574
-2.0844 0.3960 1.0593
-1.8202 -2.5316 2.6737

***

ii | NbV3Te | Alexandria | PBE | optimized geometry; total magnetic moment = 0.000 μB/atom; SG = Pm-3m (221)
1.0
4.6661 0.0000 0.0000
0.0000 4.6661 0.0000
0.0000 0.0000 4.6661
V Te Nb
3 1 1
Cartesian
0.0000 0.0000 2.3331
0.0000 2.3331 0.0000
2.3331 0.0000 0.0000
2.3331 2.3331 2.3331
0.0000 0.0000 0.0000

***

Q: Which of them is the most stable? A: ii.

***

i | NbVTe4 | Alexandria | PBE | optimized geometry; total magnetic moment = 0.239 μB/atom; SG = P2/m (10)
1.0
3.6487 0.0000 0.0000
0.0000 5.8424 -2.4713
0.0000 1.0081 7.6021
Te Nb V
4 1 1
Cartesian
1.8243 5.0423 3.8032
0.0000 4.6122 0.0880
0.0000 2.2383 5.0429
1.8243 1.8082 1.3276
1.8243 0.5041 3.8011
0.0000 3.4253 2.5654

***

ii | NbVTe4 | Alexandria | PBE | optimized geometry; total magnetic moment = 0.308 μB/atom; SG = C2/m (12)
1.0
-2.6576 4.5059 1.6267
-0.2008 -5.7097 6.2626
7.9308 4.4019 0.7636
Nb Te V
2 8 2
Cartesian
1.6191 -0.2427 3.3173
3.4533 3.4408 5.3356
-2.3306 -0.1011 5.6971
1.5892 -1.2001 5.9204
4.2173 0.9018 4.3917
0.8551 2.2963 4.2612
7.4030 3.2992 2.9559
2.7614 1.2061 1.1705
3.4832 4.3982 2.7325
2.3110 1.9920 7.4824
-0.0598 0.9530 6.4870
5.1322 2.2450 2.1659

***

Q: Which of them is the most stable? A: i.

***

i | Nb3TeW | Alexandria | PBE | optimized geometry; total magnetic moment = 0.000 μB/atom; SG = Pm-3m (221)
1.0
4.9283 0.0000 0.0000
0.0000 4.9283 0.0000
0.0000 0.0000 4.9283
Nb W Te
3 1 1
Cartesian
2.4641 0.0000 0.0000
0.0000 0.0000 2.4641
0.0000 2.4641 0.0000
0.0000 0.0000 0.0000
2.4641 2.4641 2.4641

***

ii | Nb3TeW | Alexandria | PBE | optimized geometry; total magnetic moment = 0.000 μB/atom; SG = Pm-3m (221)
1.0
-1.6144 -2.1208 -4.1255
0.5317 -4.4241 2.0662
-4.6082 0.2326 1.6837
Nb Te W
3 1 1
Cartesian
-2.3041 0.1163 0.8419
-0.8072 -1.0604 -2.0628
0.2658 -2.2120 1.0331
0.0000 0.0000 0.0000
-2.8455 -3.1561 -0.1878

***

Q: Which of them is the most stable? A: i.

***

i | NbTe4W | Alexandria | PBE | optimized geometry; total magnetic moment = 0.000 μB/atom; SG = C2/c (15)
1.0
-5.1509 2.9087 -2.5248
1.2555 -5.8490 -2.3185
-3.9359 -2.6632 9.6629
W Te Nb
2 8 2
Cartesian
-3.0624 -7.1487 5.5984
-4.7689 1.5453 -0.7789
-4.1433 -3.5739 -0.6061
-6.7268 -2.0233 2.9602
-8.3633 -0.8474 6.1187
-1.1045 -3.5802 1.8593
-3.6880 -2.0296 5.4256
-2.6565 -0.2038 -1.2915
0.5320 -4.7561 -1.2992
-5.1748 -5.3997 6.1110
-6.3127 -2.8030 5.5532
-1.5186 -2.8005 -0.7337

***

ii | NbTe4W | Alexandria | PBE | optimized geometry; total magnetic moment = 0.000 μB/atom; SG = Cm (8)
1.0
3.3794 -0.0002 -0.0003
-1.6827 7.7270 -1.5819
0.0008 -0.1418 6.5679
Te W Nb
4 1 1
Cartesian
0.0071 5.5783 -0.4892
0.0004 2.1212 2.0893
1.6973 6.0652 2.9181
1.6904 1.3991 5.4418
1.6968 7.6383 -1.1269
1.6898 0.0231 2.8397

***

Q: Which of them is the most stable? A: ii.